The following is a PBE calculation of TbB2Rh4 after structural relaxation, from Alexandria.

Cell: 5.495 5.495 5.495 Å, 135.09 119.88 78.09°
Fractional positions:
Tb  0.000  0.000  0.000
B  0.500  0.213  0.713
B  0.500  0.787  0.287
Rh  0.099  0.341  0.758
Rh  0.418  0.659  0.758
Rh  0.582  0.341  0.242
Rh  0.901  0.659  0.242

Values from the calculation:
Energy of formation from the pure elements in eV per atom: -0.18
Crystal system: orthorhombic
Magnetization in μB/f.u.: 0.00
Uncorrected energy in eV/atom: -6.95



The following is a PBE calculation of BaLiAlS3 after structural relaxation, from Alexandria.

Cell: 6.915 6.915 6.583 Å, 90.00 90.00 122.23°
Fractional positions:
Ba  0.232  0.768  0.750
Ba  0.768  0.232  0.250
Li  0.067  0.933  0.250
Li  0.933  0.067  0.750
Al  0.450  0.550  0.250
Al  0.550  0.450  0.750
S  0.261  0.261  0.000
S  0.261  0.261  0.500
S  0.263  0.737  0.250
S  0.737  0.263  0.750
S  0.739  0.739  0.000
S  0.739  0.739  0.500

Values from the calculation:
Raw formation energy in eV/atom: -1.463
Crystal system: orthorhombic
Magnetization in μB/f.u.: 0.00
Uncorrected energy in eV/atom: -4.79